Entry 1:
# BeCdOs2 (GGA-PBE, optimized geometry)
data_BeCdOs2
_cell_length_a 2.961
_cell_length_b 4.450
_cell_length_c 8.590
_cell_angle_alpha 90.00
_cell_angle_beta 90.00
_cell_angle_gamma 90.00
_symmetry_space_group_name_H-M 'I m m 2'
_symmetry_Int_Tables_number 44
_symmetry_space_group_name_Hall 'I 2 -2'
loop_
_atom_site_label
_atom_site_type_symbol
_atom_site_fract_x
_atom_site_fract_y
_atom_site_fract_z
Be1 Be 0.000 0.000 0.000
Cd1 Cd 0.000 0.500 0.742
Os1 Os 0.000 0.000 0.527
Os2 Os 0.000 0.500 0.285
# * energy: -49.75 eV per cell
# * density of states at the Fermi level: 6.6 states/eV per cell

***

Entry 2:
# Be2CdOs2 (GGA-PBE, optimized geometry)
data_Be2CdOs2
_cell_length_a 6.227
_cell_length_b 6.227
_cell_length_c 3.209
_cell_angle_alpha 90.00
_cell_angle_beta 90.00
_cell_angle_gamma 90.00
_symmetry_space_group_name_H-M 'P 4/m b m'
_symmetry_Int_Tables_number 127
_symmetry_space_group_name_Hall '-P 4 2ab'
loop_
_atom_site_label
_atom_site_type_symbol
_atom_site_fract_x
_atom_site_fract_y
_atom_site_fract_z
Be1 Be 0.120 0.380 0.000
Cd1 Cd 0.000 0.000 0.000
Os1 Os 0.165 0.665 0.500
# * energy: -60.04 eV per cell
# * density of states at the Fermi level: 1.1 states/eV per cell

***

Entry 3:
# BeCd2Os (GGA-PBE, optimized geometry)
data_BeCd2Os
_cell_length_a 2.965
_cell_length_b 3.256
_cell_length_c 6.972
_cell_angle_alpha 90.00
_cell_angle_beta 102.07
_cell_angle_gamma 90.00
_symmetry_space_group_name_H-M 'P 1 m 1'
_symmetry_Int_Tables_number 6
_symmetry_space_group_name_Hall 'P -2y'
loop_
_atom_site_label
_atom_site_type_symbol
_atom_site_fract_x
_atom_site_fract_y
_atom_site_fract_z
Be1 Be 0.000 0.000 0.000
Cd1 Cd 0.152 0.500 0.300
Cd2 Cd 0.815 0.000 0.624
Os1 Os 0.461 0.500 0.921
# * energy: -15.87 eV per cell
# * density of states at the Fermi level: 1.8 states/eV per cell

***

Number 1: ΔH_f (0 K) 0.556 eV per atom, calculated volume 14.147 Å³/atom. Number 2: ΔH_f (0 K) 0.161 eV per atom, calculated volume 12.441 Å³/atom. Number 3: ΔH_f (0 K) 0.229 eV per atom, calculated volume 16.458 Å³/atom.